[1]
VASP calculation (PBE) on a relaxed structure of Ho2ErSnN4.

Summary:
Total magnetic moment: 0.0 Bohr magnetons per cell
Crystal system: monoclinic
Total energy: -59.9 eV/cell
V: 14.438 Å³/atom
Uncorrected formation energy: -107.5 kJ per mole of atoms

a = 5.9601 Å, b = 3.4451 Å, c = 5.9699 Å
α = 90.00°, β = 109.57°, γ = 90.00°
Space group P2/m (No. 10)
Symmetry-distinct sites (fractional):
Ho1 0.0000 0.0000 0.0000 (multiplicity 1)
Ho2 0.0000 0.5000 0.5000 (multiplicity 1)
Er1 0.5000 0.0000 0.5000 (multiplicity 1)
Sn1 0.5000 0.5000 0.0000 (multiplicity 1)
N1 0.2439 0.0000 0.7426 (multiplicity 2)
N2 0.2467 0.5000 0.2553 (multiplicity 2)

[2]
VASP calculation (PBE) on a relaxed structure of LiCaS3.

Summary:
Energy above the lowest structure with this stoichiometry: 0.0 meV/atom
Total magnetic moment: 0.0 Bohr magnetons per cell
Crystal system: cubic
Total energy: -19.0 eV/cell
V: 18.808 Å³/atom
Uncorrected formation energy: -52.3 kJ per mole of atoms

a = 4.5475 Å, b = 4.5475 Å, c = 4.5475 Å
α = 90.00°, β = 90.00°, γ = 90.00°
Space group Pm-3m (No. 221)
Symmetry-distinct sites (fractional):
Li1 0.0000 0.0000 0.0000 (multiplicity 1)
Ca1 0.5000 0.5000 0.5000 (multiplicity 1)
S1 0.0000 0.0000 0.5000 (multiplicity 3)

[3]
VASP calculation (PBE) on a relaxed structure of K2VPd.

Summary:
Energy above the lowest structure with this stoichiometry: 0.0 meV/atom
ΔE_f: 2.7 eV/f.u.
Total magnetic moment: 16.4 Bohr magnetons per cell
Crystal system: tetragonal
Total energy: -55.2 eV/cell
V: 45.048 Å³/atom

a = 12.1530 Å, b = 12.1530 Å, c = 4.8801 Å
α = 90.00°, β = 90.00°, γ = 90.00°
Space group I-42d (No. 122)
Symmetry-distinct sites (fractional):
K1 0.0822 0.2500 0.1250 (multiplicity 8)
V1 0.0000 0.0000 0.5000 (multiplicity 4)
Pd1 0.0000 0.0000 0.0000 (multiplicity 4)

[4]
VASP calculation (PBE) on a relaxed structure of NiIrSe.

Summary:
Energy above the lowest structure with this stoichiometry: 229.1 meV/atom
Total magnetic moment: 1.9 Bohr magnetons per cell
Crystal system: orthorhombic
Total energy: -66.6 eV/cell
V: 15.246 Å³/atom
Uncorrected formation energy: 47.5 kJ per mole of atoms

a = 2.7654 Å, b = 4.7816 Å, c = 13.8357 Å
α = 90.00°, β = 90.00°, γ = 90.00°
Space group Fmm2 (No. 42)
Symmetry-distinct sites (fractional):
Ni1 0.0000 0.0000 0.0000 (multiplicity 4)
Ir1 0.0000 0.0000 0.6504 (multiplicity 4)
Se1 0.0000 0.0000 0.3536 (multiplicity 4)